# 1
# BaLiAg2S PBE-GGA optimized geometry
# * calculated volume: 30.7 Å³/atom
# * formation energy without anion corrections: -0.095 eV/atom
data_BaLiAg2S
_chemical_formula_sum 'Ba1 Li1 Ag2 S1'
_cell_length_a 5.085
_cell_length_b 5.085
_cell_length_c 5.929
_cell_angle_alpha 90.00
_cell_angle_beta 90.00
_cell_angle_gamma 90.00
_symmetry_space_group_name_H-M 'P 4/m m m'
_symmetry_Int_Tables_number 123
_symmetry_space_group_name_Hall '-P 4 2'
loop_
_atom_site_label
_atom_site_type_symbol
_atom_site_fract_x
_atom_site_fract_y
_atom_site_fract_z
_atom_site_occupancy
Ba1 Ba 0.000 0.000 0.000 1
Li1 Li 0.500 0.500 0.000 1
Ag1 Ag 0.000 0.500 0.500 1
S1 S 0.000 0.000 0.500 1

# 2
# NbOsO PBE-GGA optimized geometry
# * calculated volume: 13.3 Å³/atom
# * formation energy without anion corrections: -0.810 eV/atom
data_NbOsO
_chemical_formula_sum 'Nb2 Os2 O2'
_cell_length_a 2.8499
_cell_length_b 2.8499
_cell_length_c 11.3803
_cell_angle_alpha 90.00
_cell_angle_beta 90.00
_cell_angle_gamma 120.00
_symmetry_space_group_name_H-M 'P -6 m 2'
_symmetry_Int_Tables_number 187
_symmetry_space_group_name_Hall 'P -6 2'
loop_
_atom_site_label
_atom_site_type_symbol
_atom_site_fract_x
_atom_site_fract_y
_atom_site_fract_z
_atom_site_occupancy
Nb1 Nb 0.0000 0.0000 0.2001 1
Os1 Os 0.3333 0.6667 0.0000 1
Os2 Os 0.3333 0.6667 0.5000 1
O1 O 0.3333 0.6667 0.3229 1

# 3
# CoC3 PBE-GGA optimized geometry
# * calculated volume: 7.0 Å³/atom
# * formation enthalpy at 0 K: 2.080 eV per atom
# * offset from the most stable computed form: 1462.3 meV/atom
data_CoC3
_chemical_formula_sum 'Co1 C3'
_cell_length_a 2.5326
_cell_length_b 2.5326
_cell_length_c 5.0584
_cell_angle_alpha 90.00
_cell_angle_beta 90.00
_cell_angle_gamma 120.00
_symmetry_space_group_name_H-M 'P -6 m 2'
_symmetry_Int_Tables_number 187
_symmetry_space_group_name_Hall 'P -6 2'
loop_
_atom_site_label
_atom_site_type_symbol
_atom_site_fract_x
_atom_site_fract_y
_atom_site_fract_z
_atom_site_occupancy
Co1 Co 0.0000 0.0000 0.0000 1
C1 C 0.0000 0.0000 0.5000 1
C2 C 0.3333 0.6667 0.3073 1

# 4
# TaBePt2 PBE-GGA optimized geometry
# * calculated volume: 14.9 Å³/atom
# * formation enthalpy at 0 K: -0.421 eV per atom
data_TaBePt2
_chemical_formula_sum 'Ta2 Be2 Pt4'
_cell_length_a 5.651
_cell_length_b 7.546
_cell_length_c 2.803
_cell_angle_alpha 90.00
_cell_angle_beta 90.00
_cell_angle_gamma 90.00
_symmetry_space_group_name_H-M 'C m m m'
_symmetry_Int_Tables_number 65
_symmetry_space_group_name_Hall '-C 2 2'
loop_
_atom_site_label
_atom_site_type_symbol
_atom_site_fract_x
_atom_site_fract_y
_atom_site_fract_z
_atom_site_occupancy
Ta1 Ta 0.000 0.000 0.000 1
Be1 Be 0.000 0.500 0.000 1
Pt1 Pt 0.250 0.250 0.500 1

# 5
# Er3USb4 PBE-GGA optimized geometry
# * calculated volume: 29.3 Å³/atom
# * formation energy without anion corrections: -0.856 eV/atom
data_Er3USb4
_chemical_formula_sum 'Er6 U2 Sb8'
_cell_length_a 8.764
_cell_length_b 12.308
_cell_length_c 4.341
_cell_angle_alpha 90.00
_cell_angle_beta 90.00
_cell_angle_gamma 90.00
_symmetry_space_group_name_H-M 'C m m m'
_symmetry_Int_Tables_number 65
_symmetry_space_group_name_Hall '-C 2 2'
loop_
_atom_site_label
_atom_site_type_symbol
_atom_site_fract_x
_atom_site_fract_y
_atom_site_fract_z
_atom_site_occupancy
Er1 Er 0.000 0.000 0.000 1
Er2 Er 0.250 0.250 0.500 1
U1 U 0.000 0.500 0.000 1
Sb1 Sb 0.000 0.250 0.000 1
Sb2 Sb 0.247 0.000 0.500 1

# 6
# PuScBi2 PBE-GGA optimized geometry
# * calculated volume: 30.1 Å³/atom
# * formation enthalpy at 0 K: -0.493 eV per atom
# * offset from the most stable computed form: 0.0 meV/atom
data_PuScBi2
_chemical_formula_sum 'Pu3 Sc3 Bi6'
_cell_length_a 4.4043
_cell_length_b 4.4043
_cell_length_c 21.5353
_cell_angle_alpha 90.00
_cell_angle_beta 90.00
_cell_angle_gamma 120.00
_symmetry_space_group_name_H-M 'R -3 m'
_symmetry_Int_Tables_number 166
_symmetry_space_group_name_Hall '-R 3 2"'
loop_
_atom_site_label
_atom_site_type_symbol
_atom_site_fract_x
_atom_site_fract_y
_atom_site_fract_z
_atom_site_occupancy
Pu1 Pu 0.0000 0.0000 0.0000 1
Sc1 Sc 0.0000 0.0000 0.5000 1
Bi1 Bi 0.0000 0.0000 0.2440 1

# 7
# LaIO3 PBE-GGA optimized geometry
# * calculated volume: 19.2 Å³/atom
# * formation energy without anion corrections: -1.826 eV/atom
data_LaIO3
_chemical_formula_sum 'La4 I4 O12'
_cell_length_a 21.297
_cell_length_b 4.150
_cell_length_c 4.339
_cell_angle_alpha 90.00
_cell_angle_beta 91.23
_cell_angle_gamma 90.00
_symmetry_space_group_name_H-M 'C 1 2/m 1'
_symmetry_Int_Tables_number 12
loop_
_symmetry_equiv_pos_as_xyz
'x,y,z'
'-x,-y,-z'
'-x,y,-z'
'x,-y,z'
'x+1/2,y+1/2,z'
'-x+1/2,-y+1/2,-z'
'-x+1/2,y+1/2,-z'
'x+1/2,-y+1/2,z'
loop_
_atom_site_label
_atom_site_type_symbol
_atom_site_fract_x
_atom_site_fract_y
_atom_site_fract_z
_atom_site_occupancy
La1 La 0.194 0.000 0.243 1
I1 I 0.087 0.500 0.750 1
O1 O 0.106 0.000 0.786 1
O2 O 0.111 0.500 0.324 1
O3 O 0.248 0.000 0.751 1

# 8
# Dy7Zn2Sb2 PBE-GGA optimized geometry
# * calculated volume: 30.1 Å³/atom
# * formation energy without anion corrections: -0.205 eV/atom
data_Dy7Zn2Sb2
_chemical_formula_sum 'Dy14 Zn4 Sb4'
_cell_length_a 9.102
_cell_length_b 10.846
_cell_length_c 6.706
_cell_angle_alpha 90.00
_cell_angle_beta 90.00
_cell_angle_gamma 90.00
_symmetry_space_group_name_H-M 'C m m m'
_symmetry_Int_Tables_number 65
_symmetry_space_group_name_Hall '-C 2 2'
loop_
_atom_site_label
_atom_site_type_symbol
_atom_site_fract_x
_atom_site_fract_y
_atom_site_fract_z
_atom_site_occupancy
Dy1 Dy 0.000 0.000 0.000 1
Dy2 Dy 0.000 0.500 0.242 1
Dy3 Dy 0.250 0.250 0.254 1
Zn1 Zn 0.000 0.276 0.000 1
Sb1 Sb 0.201 0.000 0.500 1

Calculated values (eV per atom) of E for the records, taken in order: -2.828, -9.562, -6.615, -7.336, -6.039, -7.599, -6.096, -4.115.